LiBH4: optimized geometry, PBEsol.

CIF file:
```
data_LiBH4
_symmetry_space_group_name_H-M 'P 1 21/m 1'
_symmetry_Int_Tables_number 11
_cell_length_a 4.600
_cell_length_b 4.327
_cell_length_c 4.950
_cell_angle_alpha 90.00
_cell_angle_beta 94.54
_cell_angle_gamma 90.00
loop_
_symmetry_equiv_pos_as_xyz
'x,y,z'
'-x,-y,-z'
'-x,y+1/2,-z'
'x,-y+1/2,z'
loop_
_atom_site_label
_atom_site_type_symbol
_atom_site_fract_x
_atom_site_fract_y
_atom_site_fract_z
Li1 Li 0.239 0.250 0.065
B1 B 0.250 0.750 0.806
H1 H 0.097 0.520 0.756
H2 H 0.342 0.750 0.048
H3 H 0.445 0.750 0.652
```

Properties
- magnetic moment (μB per formula unit) = 0.00
- excess energy over the best structure of this formula in the dataset (meV per atom) = 9
- electronic total energy (eV for the cell shown) = -48.08